[1]
LaPm5Sm6 (GGA-PBE, relaxed); space-group type = No. 71; E_form = 1.5 kJ per mole of atoms
1.0
-2.5816 5.1586 7.7384
2.5816 -5.1586 7.7384
2.5816 5.1586 -7.7384
La Pm Sm
1 5 6
direct
0.0000 0.0000 0.0000
0.1676 0.6676 0.5000
0.3328 0.3328 0.0000
0.5000 0.0000 0.5000
0.6672 0.6672 0.0000
0.8324 0.3324 0.5000
0.0841 0.8331 0.2510
0.2519 0.5000 0.7519
0.4178 0.1669 0.2510
0.5822 0.8331 0.7490
0.7481 0.5000 0.2481
0.9159 0.1669 0.7490



[2]
Sc2HS (GGA-PBE, relaxed); space-group type = No. 160; energy above the most stable polymorph in this dataset = 0.1882 eV/atom
1.0
1.7261 0.9965 6.4156
-1.7261 0.9965 6.4156
0.0000 -1.9931 6.4156
Sc H S
2 1 1
direct
0.0000 0.0000 0.0000
0.1678 0.1678 0.1678
0.8016 0.8016 0.8016
0.5851 0.5851 0.5851



[3]
YBe2Cu (GGA-PBE, relaxed); space-group type = No. 10; energy above the most stable polymorph in this dataset = 0.3132 eV/atom; E_form = 18.7 kJ per mole of atoms
1.0
3.3853 0.0000 0.0000
0.0000 3.9266 0.0000
-1.0443 0.0000 4.8189
Y Be Cu
1 2 1
direct
0.0000 0.0000 0.0000
0.3261 0.5000 0.6584
0.6739 0.5000 0.3416
0.5000 0.0000 0.5000



[4]
TlReOs (GGA-PBE, relaxed); space-group type = No. 156; E_form = 66.1 kJ per mole of atoms
1.0
2.9004 0.0000 0.0000
-1.4502 2.5118 0.0000
0.0000 0.0000 7.2528
Tl Re Os
1 1 1
direct
0.0000 0.0000 0.0000
0.3333 0.6667 0.6361
0.6667 0.3333 0.3616



[5]
BaZnPt (GGA-PBE, relaxed); space-group type = No. 198; E_form = -60.6 kJ per mole of atoms
1.0
6.9372 0.0000 0.0000
0.0000 6.9372 0.0000
0.0000 0.0000 6.9372
Ba Zn Pt
4 4 4
direct
0.1629 0.1629 0.1629
0.3371 0.8371 0.6629
0.6629 0.3371 0.8371
0.8371 0.6629 0.3371
0.1577 0.3423 0.6577
0.3423 0.6577 0.1577
0.6577 0.1577 0.3423
0.8423 0.8423 0.8423
0.0700 0.5700 0.9300
0.4300 0.4300 0.4300
0.5700 0.9300 0.0700
0.9300 0.0700 0.5700



[6]
NaOsBr2 (GGA-PBE, relaxed); space-group type = No. 166; energy above the most stable polymorph in this dataset = 0.0000 eV/atom; formation energy from raw total energies = 31.6 kJ/mol of atoms
1.0
1.9275 1.1128 9.0359
-1.9275 1.1128 9.0359
0.0000 -2.2257 9.0359
Na Os Br
1 1 2
direct
0.0000 0.0000 0.0000
0.5000 0.5000 0.5000
0.1203 0.1203 0.1203
0.8797 0.8797 0.8797